DFT (PBE) results for crystalline TbNd2PbC at its relaxed geometry.

Geometry as POSCAR:
```
TbNd2PbC
1.0
5.137 0.000 0.000
0.000 5.137 0.000
0.000 0.000 4.960
Tb Nd Pb C
1 2 1 1
Cartesian
0.000 0.000 0.000
0.000 2.569 2.480
2.569 0.000 2.480
2.569 2.569 0.000
0.000 0.000 2.480
```

Formation energy from the elements: -0.44 eV per atom
Magnetization: 0.0 μB per formula unit
Space group: P4/mmm
V: 26.180 Å³/atom